# 1
# ThReB4, relaxed, DFT GGA-PBE
data_ThReB4
_chemical_formula_sum 'Th4 Re4 B16'
_symmetry_space_group_name_H-M 'C m m m'
_symmetry_Int_Tables_number 65
_symmetry_space_group_name_Hall '-C 2 2'
_cell_length_a 7.486
_cell_length_b 9.586
_cell_length_c 3.742
_cell_angle_alpha 90.00
_cell_angle_beta 90.00
_cell_angle_gamma 90.00
loop_
_atom_site_label
_atom_site_type_symbol
_atom_site_fract_x
_atom_site_fract_y
_atom_site_fract_z
Th1 Th 0.000 0.199 0.000
Re1 Re 0.182 0.500 0.000
B1 B 0.000 0.411 0.500
B2 B 0.129 0.000 0.500
B3 B 0.219 0.345 0.500
# uncorrected energy = -8.318 eV per atom
# calculated formation energy = -555 meV/atom
# magnetization = 0.00 μB/cell

---

# 2
# ThRe4B2, relaxed, DFT GGA-PBE
data_ThRe4B2
_chemical_formula_sum 'Th2 Re8 B4'
_symmetry_space_group_name_H-M 'C m m m'
_symmetry_Int_Tables_number 65
_symmetry_space_group_name_Hall '-C 2 2'
_cell_length_a 4.079
_cell_length_b 13.404
_cell_length_c 4.022
_cell_angle_alpha 90.00
_cell_angle_beta 90.00
_cell_angle_gamma 90.00
loop_
_atom_site_label
_atom_site_type_symbol
_atom_site_fract_x
_atom_site_fract_y
_atom_site_fract_z
Th1 Th 0.000 0.000 0.000
Re1 Re 0.000 0.177 0.500
Re2 Re 0.000 0.309 0.000
B1 B 0.000 0.384 0.500
# uncorrected energy = -10.233 eV per atom
# calculated formation energy = -152 meV/atom
# magnetization = 0.00 μB/cell

---

# 3
# ThRe4B4, relaxed, DFT GGA-PBE
data_ThRe4B4
_chemical_formula_sum 'Th2 Re8 B8'
_symmetry_space_group_name_H-M 'P 42/n'
_symmetry_Int_Tables_number 86
_cell_length_a 7.604
_cell_length_b 7.604
_cell_length_c 4.149
_cell_angle_alpha 90.00
_cell_angle_beta 90.00
_cell_angle_gamma 90.00
loop_
_symmetry_equiv_pos_as_xyz
'x,y,z'
'-x,-y,-z'
'-y,x+1/2,z+1/2'
'y,-x+1/2,-z+1/2'
'-x+1/2,-y+1/2,z'
'x+1/2,y+1/2,-z'
'y+1/2,-x,z+1/2'
'-y+1/2,x,-z+1/2'
loop_
_atom_site_label
_atom_site_type_symbol
_atom_site_fract_x
_atom_site_fract_y
_atom_site_fract_z
Th1 Th 0.250 0.250 0.250
Re1 Re 0.107 0.639 0.127
B1 B 0.036 0.916 0.131
# uncorrected energy = -9.685 eV per atom
# calculated formation energy = -360 meV/atom
# magnetization = 0.00 μB/cell

---

# 4
# Th3Re2B9, relaxed, DFT GGA-PBE
data_Th3Re2B9
_chemical_formula_sum 'Th6 Re4 B18'
_symmetry_space_group_name_H-M 'I m m m'
_symmetry_Int_Tables_number 71
_symmetry_space_group_name_Hall '-I 2 2'
_cell_length_a 3.162
_cell_length_b 8.514
_cell_length_c 13.617
_cell_angle_alpha 90.00
_cell_angle_beta 90.00
_cell_angle_gamma 90.00
loop_
_atom_site_label
_atom_site_type_symbol
_atom_site_fract_x
_atom_site_fract_y
_atom_site_fract_z
Th1 Th 0.000 0.000 0.000
Th2 Th 0.000 0.000 0.265
Re1 Re 0.000 0.167 0.500
B1 B 0.000 0.264 0.127
B2 B 0.000 0.308 0.367
B3 B 0.000 0.500 0.000
# uncorrected energy = -7.905 eV per atom
# calculated formation energy = -244 meV/atom
# magnetization = 0.00 μB/cell

---

# 5
# Th3ReB7, relaxed, DFT GGA-PBE
data_Th3ReB7
_chemical_formula_sum 'Th12 Re4 B28'
_symmetry_space_group_name_H-M 'C m c m'
_symmetry_Int_Tables_number 63
_symmetry_space_group_name_Hall '-C 2c 2'
_cell_length_a 3.698
_cell_length_b 16.379
_cell_length_c 9.663
_cell_angle_alpha 90.00
_cell_angle_beta 90.00
_cell_angle_gamma 90.00
loop_
_atom_site_label
_atom_site_type_symbol
_atom_site_fract_x
_atom_site_fract_y
_atom_site_fract_z
Th1 Th 0.000 0.105 0.060
Th2 Th 0.000 0.246 0.750
Re1 Re 0.000 0.053 0.750
B1 B 0.000 0.276 0.034
B2 B 0.000 0.368 0.155
B3 B 0.000 0.463 0.750
B4 B 0.000 0.476 0.100
# uncorrected energy = -7.850 eV per atom
# calculated formation energy = -446 meV/atom
# magnetization = 0.00 μB/cell

---

# 6
# ThRe3B3, relaxed, DFT GGA-PBE
data_ThRe3B3
_chemical_formula_sum 'Th2 Re6 B6'
_symmetry_space_group_name_H-M 'P 63/m'
_symmetry_Int_Tables_number 176
_symmetry_space_group_name_Hall '-P 6c'
_cell_length_a 8.5145
_cell_length_b 8.5145
_cell_length_c 3.0311
_cell_angle_alpha 90.00
_cell_angle_beta 90.00
_cell_angle_gamma 120.00
loop_
_atom_site_label
_atom_site_type_symbol
_atom_site_fract_x
_atom_site_fract_y
_atom_site_fract_z
Th1 Th 0.3333 0.6667 0.2500
Re1 Re 0.0338 0.7457 0.7500
B1 B 0.0321 0.4744 0.7500
# uncorrected energy = -9.327 eV per atom
# calculated formation energy = -70 meV/atom
# magnetization = 0.00 μB/cell

---

# 7
# ThReB, relaxed, DFT GGA-PBE
data_ThReB
_chemical_formula_sum 'Th2 Re2 B2'
_symmetry_space_group_name_H-M 'I 4 m m'
_symmetry_Int_Tables_number 107
_symmetry_space_group_name_Hall 'I 4 -2'
_cell_length_a 3.120
_cell_length_b 3.120
_cell_length_c 10.147
_cell_angle_alpha 90.00
_cell_angle_beta 90.00
_cell_angle_gamma 90.00
loop_
_atom_site_label
_atom_site_type_symbol
_atom_site_fract_x
_atom_site_fract_y
_atom_site_fract_z
Th1 Th 0.000 0.000 0.000
Re1 Re 0.000 0.000 0.274
B1 B 0.000 0.000 0.710
# uncorrected energy = -8.805 eV per atom
# calculated formation energy = 43 meV/atom
# magnetization = 0.00 μB/cell

---

# 8
# ThReB4, relaxed, DFT GGA-PBE
data_ThReB4
_chemical_formula_sum 'Th2 Re2 B8'
_symmetry_space_group_name_H-M 'I m m m'
_symmetry_Int_Tables_number 71
_symmetry_space_group_name_Hall '-I 2 2'
_cell_length_a 3.176
_cell_length_b 5.405
_cell_length_c 7.852
_cell_angle_alpha 90.00
_cell_angle_beta 90.00
_cell_angle_gamma 90.00
loop_
_atom_site_label
_atom_site_type_symbol
_atom_site_fract_x
_atom_site_fract_y
_atom_site_fract_z
Th1 Th 0.000 0.000 0.000
Re1 Re 0.000 0.000 0.500
B1 B 0.000 0.333 0.248
# uncorrected energy = -7.743 eV per atom
# calculated formation energy = 19 meV/atom
# magnetization = 0.00 μB/cell

---

- Look up the magnetization of the fourth one.
  0.00 μB/cell

---

- Among the records above, which one has the highest uncorrected energy?
  number 8

---

- What is the calculated formation energy in the fourth record?
  -244 meV/atom